A crystal of Li2AlS relaxed with PBEsol, computed with SCAN.

Results
The value obtained for the calculated volume is 16.589 Å³/atom. The value obtained for the formation energy (no corrections) is -0.25 eV per atom. The magnetization comes out at 0.00 μB/f.u. As for the space group: Fm-3m. Its final energy is -5.791 eV/atom.

Cell: 4.544 4.544 4.544 Å, 60.00 60.00 60.00°
Positions (direct):
S1 0.500 0.500 0.500
Al1 0.000 0.000 0.000
Li1 0.250 0.250 0.250
Li2 0.750 0.750 0.750